A plane-wave DFT calculation with PBE was carried out for crystalline PmNdRh2 at its relaxed geometry.

Lattice parameters (Å, degrees): 3.9214 4.2628 5.8151 90.00 109.70 90.00
Last column: nearest neighbours and their distance in Å.
Fractional coordinates of all 4 atoms:
Nd: 0.4413 0.5000 0.4210  7 Rh 2.96-3.17
Rh: 0.9983 0.0000 0.5353  2 Rh 2.83, 4 Nd 2.96, 3 Pm 3.01-3.15
Rh: 0.1680 0.5000 0.8754  2 Rh 2.83, 4 Pm 2.96, 3 Nd 2.99-3.17
Pm: 0.7235 0.0000 0.9863  7 Rh 2.96-3.15

Values from the calculation:
Energy above the lowest structure with this stoichiometry = 0 meV/atom
Total moment = 0.00 μB/atom
ΔE_f = -698 meV per atom


A plane-wave DFT calculation with PBE was carried out for crystalline Pm3Nd5Rh2 at its relaxed geometry.

Lattice parameters (Å, degrees): 8.0441 10.1575 10.1575 63.31 66.67 66.67
Last column: nearest neighbours and their distance in Å.
Fractional coordinates of all 20 atoms:
Rh: 0.8675 0.1318 0.1331  3 Nd 2.79-2.81, 3 Pm 2.79-2.86
Rh: 0.6325 0.8669 0.8682  3 Nd 2.79-2.81, 3 Pm 2.79-2.86
Rh: 0.1325 0.8682 0.8669  3 Nd 2.79-2.81, 3 Pm 2.79-2.86
Rh: 0.3675 0.1331 0.1318  3 Nd 2.79-2.81, 3 Pm 2.79-2.86
Pm: 0.1267 0.1358 0.6108  1 Rh 2.79
Pm: 0.6267 0.6108 0.1358  1 Rh 2.79
Pm: 0.2500 0.0000 0.0000  4 Rh 2.86
Pm: 0.8733 0.8642 0.3892  1 Rh 2.79
Pm: 0.7500 0.0000 0.0000  4 Rh 2.86
Pm: 0.3733 0.3892 0.8642  1 Rh 2.79
Nd: 0.4910 0.2590 0.2590  2 Rh 2.79
Nd: 0.8796 0.3830 0.8577  1 Rh 2.81
Nd: 0.3796 0.8577 0.3830  1 Rh 2.81
Nd: 0.6204 0.1423 0.6170  1 Rh 2.81
Nd: 0.2500 0.5000 0.5000  8 Nd 3.69-4.02, 4 Pm 3.77
Nd: 0.1204 0.6170 0.1423  1 Rh 2.81
Nd: 0.5090 0.7410 0.7410  2 Rh 2.79
Nd: 0.7500 0.5000 0.5000  8 Nd 3.69-4.02, 4 Pm 3.77
Nd: 0.0090 0.7410 0.7410  2 Rh 2.79
Nd: 0.9910 0.2590 0.2590  2 Rh 2.79

Values from the calculation:
Total moment = 0.00 μB/atom
ΔE_f = -224 meV per atom


A plane-wave DFT calculation with PBE was carried out for crystalline PmNdRh at its relaxed geometry.

Lattice parameters (Å, degrees): 3.5543 3.5543 7.0379 104.63 104.63 90.00
Last column: nearest neighbours and their distance in Å.
Fractional coordinates of all 3 atoms:
Pm: 0.2936 0.2936 0.5872  4 Rh 3.01, 1 Nd 3.36
Rh: 0.6681 0.6681 0.3361  4 Pm 3.01, 4 Nd 3.04
Nd: 0.0384 0.0384 0.0767  4 Rh 3.04, 1 Pm 3.36

Values from the calculation:
Energy above the lowest structure with this stoichiometry = 52 meV/atom
Total moment = 0.00 μB/atom
ΔE_f = -426 meV per atom


A plane-wave DFT calculation with PBE was carried out for crystalline Pm6Nd2Rh at its relaxed geometry.

Lattice parameters (Å, degrees): 3.7009 9.3912 10.0317 117.91 90.04 90.00
Last column: nearest neighbours and their distance in Å.
Fractional coordinates of all 9 atoms:
Pm: 0.5000 0.7816 0.0000  2 Rh 2.76
Pm: 0.0003 0.3340 0.3350  2 Pm 3.13-3.32, 1 Rh 3.36
Pm: 0.5000 0.2184 0.0000  2 Rh 2.76
Pm: 0.0003 0.0010 0.3350  2 Pm 3.13-3.32, 1 Rh 3.36
Pm: 0.9997 0.9990 0.6650  2 Pm 3.13-3.32, 1 Rh 3.36
Pm: 0.9997 0.6660 0.6650  2 Pm 3.13-3.32, 1 Rh 3.36
Nd: 0.5006 0.3300 0.6600  10 Pm 3.64-4.01, 2 Nd 3.70
Nd: 0.4994 0.6700 0.3400  10 Pm 3.64-4.01, 2 Nd 3.70
Rh: 0.0000 0.0000 0.0000  4 Pm 2.76

Values from the calculation:
Total moment = 0.00 μB/atom
ΔE_f = 18 meV per atom


A plane-wave DFT calculation with PBE was carried out for crystalline Pm3NdRh8 at its relaxed geometry.

Lattice parameters (Å, degrees): 5.4021 5.4021 9.3579 73.33 73.33 60.06
Last column: nearest neighbours and their distance in Å.
Fractional coordinates of all 12 atoms:
Rh: 0.4372 0.9374 0.6880  6 Rh 2.70
Rh: 0.6875 0.6875 0.9375  6 Rh 2.70
Rh: 0.1875 0.1875 0.4376  6 Rh 2.70-2.71
Rh: 0.9378 0.4377 0.1869  6 Rh 2.70-2.71
Rh: 0.4377 0.9378 0.1869  6 Rh 2.70-2.71
Rh: 0.4377 0.4377 0.1869  6 Rh 2.70-2.71
Rh: 0.9374 0.4372 0.6880  6 Rh 2.70
Rh: 0.9374 0.9374 0.6880  6 Rh 2.70-2.71
Pm: 0.3750 0.3750 0.8754  12 Rh 3.16-3.17, 4 Pm 3.30-3.31
Pm: 0.4998 0.4998 0.5001  12 Rh 3.16-3.18, 3 Nd 3.31, 1 Pm 3.31
Pm: 0.0000 0.0000 0.9994  12 Rh 3.16-3.17, 3 Pm 3.30-3.31, 1 Nd 3.32
Nd: 0.8751 0.8751 0.3751  12 Rh 3.16-3.18, 4 Pm 3.31-3.32

Values from the calculation:
Total moment = 0.00 μB/atom
ΔE_f = -676 meV per atom


A plane-wave DFT calculation with PBE was carried out for crystalline Pm3NdRh at its relaxed geometry.

Lattice parameters (Å, degrees): 7.4137 8.2438 10.3480 107.90 90.00 90.00
Last column: nearest neighbours and their distance in Å.
Fractional coordinates of all 20 atoms:
Pm: 0.7119 0.4376 0.9778  1 Rh 2.89
Pm: 0.0020 0.7826 0.8761  2 Rh 2.85-2.93
Pm: 0.5020 0.2174 0.6239  2 Rh 2.85-2.93
Pm: 0.2881 0.5624 0.0222  1 Rh 2.89
Pm: 0.9980 0.2174 0.1239  2 Rh 2.85-2.93
Pm: 0.2119 0.5624 0.5222  1 Rh 2.89
Pm: 0.8693 0.9176 0.6112  3 Rh 2.90-3.00
Pm: 0.7881 0.4376 0.4778  1 Rh 2.89
Pm: 0.6307 0.9176 0.1112  3 Rh 2.90-3.00
Pm: 0.4980 0.7826 0.3761  2 Rh 2.85-2.93
Pm: 0.1307 0.0824 0.3888  3 Rh 2.90-3.00
Pm: 0.3693 0.0824 0.8888  3 Rh 2.90-3.00
Nd: 0.0352 0.3148 0.7386  9 Pm 3.36-3.75, 2 Rh 3.49-3.63
Nd: 0.5352 0.6852 0.7614  9 Pm 3.36-3.75, 2 Rh 3.49-3.63
Nd: 0.4648 0.3148 0.2386  9 Pm 3.36-3.75, 2 Rh 3.49-3.63
Nd: 0.9648 0.6852 0.2614  9 Pm 3.36-3.75, 2 Rh 3.49-3.63
Rh: 0.2595 0.9280 0.5973  6 Pm 2.85-3.00
Rh: 0.7595 0.0720 0.9027  6 Pm 2.85-3.00
Rh: 0.2405 0.9280 0.0973  6 Pm 2.85-3.00
Rh: 0.7405 0.0720 0.4027  6 Pm 2.85-3.00

Values from the calculation:
Energy above the lowest structure with this stoichiometry = 0 meV/atom
Total moment = 0.00 μB/atom
ΔE_f = -256 meV per atom